Entry from Alexandria: a relaxed structure of LiV2P5O16 (PBE with a Hubbard U).

Computed properties:
The value obtained for the relative energy among the computed polymorphs is 0 meV per atom. The magnetic moment comes out at 8.000 Bohr magnetons per cell. The total energy is -0.540 Ry/atom.

a b c (Å): 5.0873 6.7878 18.8825
angles (deg): 90.00 90.23 90.00
Closest atoms and distances in Å follow each position.
Space group Pc (No. 7)
Asymmetric unit:
1 Li 0.0000 0.1322 0.0000 (multiplicity 2)  4 O 2.15-2.35
2 V 0.4707 0.3211 0.1230 (multiplicity 2)  6 O 1.96-2.10
3 V 0.9928 0.3138 0.4379 (multiplicity 2)  6 O 1.98-2.12
4 P 0.4765 0.0193 0.3984 (multiplicity 2)  4 O 1.51-1.60
5 P 0.4996 0.3770 0.9516 (multiplicity 2)  4 O 1.52-1.64
6 P 0.7169 0.2407 0.2811 (multiplicity 2)  4 O 1.49-1.61
7 P 0.9537 0.3675 0.6077 (multiplicity 2)  4 O 1.51-1.63
8 P 0.9817 0.0353 0.1620 (multiplicity 2)  4 O 1.51-1.60
9 O 0.0450 0.2612 0.5403 (multiplicity 2)  1 P 1.54
10 O 0.1442 0.4833 0.1381 (multiplicity 2)  1 P 1.51
11 O 0.1947 0.0552 0.4205 (multiplicity 2)  1 P 1.51
12 O 0.2693 0.0735 0.1491 (multiplicity 2)  1 P 1.51
13 O 0.3346 0.4545 0.4225 (multiplicity 2)  1 P 1.52
14 O 0.3723 0.2750 0.0159 (multiplicity 2)  1 P 1.54
15 O 0.5007 0.2122 0.8879 (multiplicity 2)  2 P 1.59-1.64
16 O 0.5119 0.0920 0.3183 (multiplicity 2)  2 P 1.60-1.61
17 O 0.5686 0.3590 0.2277 (multiplicity 2)  1 P 1.49
18 O 0.6724 0.4419 0.6002 (multiplicity 2)  1 P 1.52
19 O 0.6930 0.0973 0.4456 (multiplicity 2)  1 P 1.51
20 O 0.7918 0.4229 0.9620 (multiplicity 2)  1 P 1.53
21 O 0.7972 0.1349 0.1093 (multiplicity 2)  1 P 1.52
22 O 0.8696 0.3498 0.3370 (multiplicity 2)  1 P 1.50
23 O 0.9155 0.0920 0.2425 (multiplicity 2)  2 P 1.60-1.61
24 O 0.9331 0.1941 0.6675 (multiplicity 2)  2 P 1.58-1.63